## P
The following is a PBE calculation of BeAlRh2 after structural relaxation, from Alexandria via LeMat-Bulk.

Lattice parameters (Å, degrees): 4.2373 4.2373 4.6594 70.54 70.54 41.09
Closest atoms and distances in Å follow each position.
Element x y z (fractional)
Be 0.2500 0.2500 0.2500  4 Rh 2.28
Rh 0.5235 0.5235 0.4746  2 Be 2.28, 1 Al 2.55
Rh 0.9765 0.9765 0.0254  2 Be 2.28, 1 Al 2.55
Al 0.7500 0.7500 0.7500  6 Rh 2.55-2.57, 4 Be 2.76

Summary:
The value obtained for the size of the total moment is 0.0 Bohr magnetons per cell. The space group is C2/m, No. 12. As for the crystal system: monoclinic.


## Q
The following is a PBE calculation of BeAlRh2 after structural relaxation, from Alexandria via LeMat-Bulk.

Lattice parameters (Å, degrees): 4.6827 4.6827 4.1808 74.81 74.81 35.22
Closest atoms and distances in Å follow each position.
Element x y z (fractional)
Al 0.4972 0.4972 0.5624  7 Rh 2.46-2.56
Be 0.2585 0.2585 0.1773  7 Rh 2.46-2.54
Rh 0.7518 0.7518 0.6839  3 Al 2.46-2.54, 4 Be 2.52-2.54
Rh 0.9925 0.9925 0.0764  3 Be 2.46-2.52, 4 Al 2.49-2.56

Summary:
The value obtained for the size of the total moment is 0.0 Bohr magnetons per cell. The space group is Cm, No. 8. As for the crystal system: monoclinic.


## R
The following is a PBE calculation of BeAlRh2 after structural relaxation, from Alexandria via LeMat-Bulk.

Lattice parameters (Å, degrees): 3.8870 3.8870 8.2344 76.35 76.35 90.00
Closest atoms and distances in Å follow each position.
Element x y z (fractional)
Al 0.0000 0.0000 0.0000  4 Rh 2.44
Be 0.5000 0.5000 0.0000  4 Rh 2.32
Rh 0.3750 0.4144 0.7500  2 Be 2.32, 2 Al 2.44, 2 Rh 2.54
Be 0.2500 0.7500 0.5000  4 Rh 2.32
Rh 0.1644 0.6250 0.2500  2 Be 2.32, 2 Al 2.44, 2 Rh 2.54
Rh 0.8750 0.8356 0.7500  2 Be 2.32, 2 Al 2.44, 2 Rh 2.54
Rh 0.5856 0.1250 0.2500  2 Be 2.32, 2 Al 2.44, 2 Rh 2.54
Al 0.7500 0.2500 0.5000  4 Rh 2.44

Summary:
The value obtained for the size of the total moment is 0.0 Bohr magnetons per cell. The space group is I-42d, No. 122. As for the crystal system: tetragonal.


Result of the stability comparison: Q is the most stable of them.